No. 1
# PBE-GGA CeSm6Tl3, relaxed
# Energy above the most stable polymorph in this dataset = 0 meV/atom
data_CeSm6Tl3
_cell_length_a 10.121
_cell_length_b 5.309
_cell_length_c 11.489
_cell_angle_alpha 90.00
_cell_angle_beta 100.90
_cell_angle_gamma 90.00
_space_group_name_H-M_alt 'P 1 21/m 1'
_space_group_IT_number 11
loop_
_space_group_symop_operation_xyz
'x,y,z'
'-x,-y,-z'
'-x,y+1/2,-z'
'x,-y+1/2,z'
loop_
_atom_site_label
_atom_site_fract_x
_atom_site_fract_y
_atom_site_fract_z
Ce1 0.044 0.250 0.407
Sm1 0.066 0.750 0.904
Sm2 0.135 0.750 0.226
Sm3 0.178 0.250 0.711
Sm4 0.269 0.750 0.518
Sm5 0.354 0.250 0.307
Sm6 0.452 0.750 0.097
Tl1 0.239 0.250 0.020
Tl2 0.356 0.750 0.809
Tl3 0.460 0.250 0.606

=====

No. 2
# PBE-GGA CaRe3Pd, relaxed
# Energy above the most stable polymorph in this dataset = 1043 meV/atom
data_CaRe3Pd
_cell_length_a 4.535
_cell_length_b 4.535
_cell_length_c 4.535
_cell_angle_alpha 90.00
_cell_angle_beta 90.00
_cell_angle_gamma 90.00
_space_group_name_H-M_alt 'P m -3 m'
_space_group_IT_number 221
_space_group_name_Hall '-P 4 2 3'
loop_
_atom_site_label
_atom_site_fract_x
_atom_site_fract_y
_atom_site_fract_z
Ca1 0.000 0.000 0.000
Re1 0.000 0.000 0.500
Pd1 0.500 0.500 0.500

=====

No. 3
Crystalline NaLaSc2Ir at its relaxed geometry, computed with PBE-GGA.

CIF file:
```
data_NaLaSc2Ir
_cell_length_a 5.340
_cell_length_b 5.340
_cell_length_c 4.966
_cell_angle_alpha 90.00
_cell_angle_beta 90.00
_cell_angle_gamma 90.00
_space_group_name_H-M_alt 'P 4/m m m'
_space_group_IT_number 123
_space_group_name_Hall '-P 4 2'
loop_
_atom_site_label
_atom_site_fract_x
_atom_site_fract_y
_atom_site_fract_z
Na1 0.000 0.000 0.000
La1 0.500 0.500 0.500
Sc1 0.000 0.500 0.500
Ir1 0.500 0.500 0.000
```

=====

No. 4
# PBE-GGA BaLiCr3, relaxed
# Energy above the most stable polymorph in this dataset = 0 meV/atom
data_BaLiCr3
_cell_length_a 5.036
_cell_length_b 5.036
_cell_length_c 5.036
_cell_angle_alpha 90.00
_cell_angle_beta 90.00
_cell_angle_gamma 90.00
_space_group_name_H-M_alt 'P m -3 m'
_space_group_IT_number 221
_space_group_name_Hall '-P 4 2 3'
loop_
_atom_site_label
_atom_site_fract_x
_atom_site_fract_y
_atom_site_fract_z
Ba1 0.000 0.000 0.000
Li1 0.500 0.500 0.500
Cr1 0.000 0.500 0.500

=====

no.,energy relative to the elements (eV per formula unit)
1,-1.91
2,15.85
3,4.41
4,5.85